1.
Here is GdGa6Fe6 after structural relaxation from the Open Quantum Materials Database. Energies are from PBE.

Computed properties:
V   370.6 Å³ per cell
Raw total energy   -5.90 eV per atom

Cell lengths 5.0307, 8.5222, 8.6450 Å; angles 90.00, 90.00, 90.00 degrees
Space group Immm (No. 71)
One atom of each set of equivalent atoms:
Gd 0.0000 0.0000 0.0000 (multiplicity 2)
Ga 0.0000 0.0000 0.3450 (multiplicity 4)
Ga 0.0000 0.3338 0.0000 (multiplicity 4)
Ga 0.0000 0.5000 0.3138 (multiplicity 4)
Fe 0.0000 0.2568 0.5000 (multiplicity 4)
Fe 0.2500 0.2500 0.2500 (multiplicity 8)

=====

2.
Here is Gd6GaFe2 after structural relaxation from the Open Quantum Materials Database. Energies are from PBE.

Computed properties:
V   895.0 Å³ per cell
Raw total energy   -5.42 eV per atom

Cell lengths 9.3254, 9.6126, 9.9845 Å; angles 90.00, 90.00, 90.00 degrees
Space group Immm (No. 71)
One atom of each set of equivalent atoms:
Gd 0.0000 0.1976 0.2385 (multiplicity 8)
Gd 0.1888 0.5000 0.1701 (multiplicity 8)
Gd 0.2230 0.3180 0.5000 (multiplicity 8)
Ga 0.0000 0.0000 0.0000 (multiplicity 2)
Ga 0.0000 0.0000 0.5000 (multiplicity 2)
Fe 0.0000 0.3301 0.0000 (multiplicity 4)
Fe 0.0000 0.5000 0.3924 (multiplicity 4)

=====

3.
Here is TbGd2Ga3FeGe2 after structural relaxation from the Open Quantum Materials Database. Energies are from PBE.

Computed properties:
V   354.6 Å³ per cell
Raw total energy   -5.15 eV per atom

Cell lengths 4.1720, 12.1265, 7.0091 Å; angles 90.00, 90.00, 90.00 degrees
Space group Amm2 (No. 38)
One atom of each set of equivalent atoms:
Tb 0.0000 0.0000 0.0000 (multiplicity 2)
Gd 0.0000 0.1997 0.4017 (multiplicity 4)
Ga 0.5000 0.0000 0.3760 (multiplicity 2)
Ga 0.5000 0.1124 0.7143 (multiplicity 4)
Fe 0.0000 0.0000 0.6020 (multiplicity 2)
Ge 0.5000 0.1662 0.1013 (multiplicity 4)

=====

4.
Here is NdGdGa4Fe2 after structural relaxation from the Open Quantum Materials Database. Energies are from PBE.

Computed properties:
V   307.0 Å³ per cell
Raw total energy   -5.18 eV per atom

Cell lengths 4.1599, 4.1780, 17.6659 Å; angles 90.00, 90.00, 90.00 degrees
Space group Amm2 (No. 38)
One atom of each set of equivalent atoms:
Nd 0.0000 0.0000 0.0000 (multiplicity 2)
Gd 0.0000 0.0000 0.7156 (multiplicity 2)
Ga 0.0000 0.0000 0.3563 (multiplicity 2)
Ga 0.5000 0.0000 0.1496 (multiplicity 2)
Ga 0.5000 0.0000 0.5678 (multiplicity 2)
Ga 0.5000 0.0000 0.8563 (multiplicity 2)
Fe 0.5000 0.0000 0.2858 (multiplicity 2)
Fe 0.5000 0.0000 0.4285 (multiplicity 2)

=====

5.
Here is Gd3GaFeS7 after structural relaxation from the Open Quantum Materials Database. Energies are from PBE.

Computed properties:
V   501.9 Å³ per cell
Raw total energy   -5.99 eV per atom

Cell lengths 9.6853, 9.6853, 6.1784 Å; angles 90.00, 90.00, 120.00 degrees
Space group P6_3 (No. 173)
One atom of each set of equivalent atoms:
Gd 0.1537 0.7772 0.0000 (multiplicity 6)
Ga 0.3333 0.6667 0.5747 (multiplicity 2)
Fe 0.0000 0.0000 0.1783 (multiplicity 2)
S 0.0879 0.5189 0.7311 (multiplicity 6)
S 0.1009 0.8650 0.4113 (multiplicity 6)
S 0.3333 0.6667 0.2081 (multiplicity 2)

=====

6.
Here is GdYGa2Fe4 after structural relaxation from the Open Quantum Materials Database. Energies are from PBE.

Computed properties:
V   142.8 Å³ per cell
Raw total energy   -6.47 eV per atom

Cell lengths 4.1848, 4.1848, 9.4166 Å; angles 90.00, 90.00, 120.00 degrees
Space group P-6m2 (No. 187)
One atom of each set of equivalent atoms:
Gd 0.0000 0.0000 0.0000 (multiplicity 1)
Y 0.3333 0.6667 0.5000 (multiplicity 1)
Ga 0.6667 0.3333 0.2518 (multiplicity 2)
Fe 0.0000 0.0000 0.2906 (multiplicity 2)
Fe 0.3333 0.6667 0.2096 (multiplicity 2)

=====

7.
Here is GaFeGe after structural relaxation from the Open Quantum Materials Database. Energies are from PBE.

Computed properties:
Excess energy over the best structure of this formula in the dataset   0.000 eV per atom
V   183.9 Å³ per cell
Raw total energy   -5.28 eV per atom

Cell lengths 5.6865, 5.6865, 5.6865 Å; angles 90.00, 90.00, 90.00 degrees
Space group F-43m (No. 216)
One atom of each set of equivalent atoms:
Ga 0.0000 0.0000 0.0000 (multiplicity 4)
Fe 0.2500 0.2500 0.2500 (multiplicity 4)
Ge 0.0000 0.0000 0.5000 (multiplicity 4)

=====

8.
Here is GaFeGe after structural relaxation from the Open Quantum Materials Database. Energies are from PBE.

Computed properties:
Excess energy over the best structure of this formula in the dataset   0.315 eV per atom
V   200.4 Å³ per cell
Raw total energy   -4.96 eV per atom

Cell lengths 5.8523, 5.8523, 5.8523 Å; angles 90.00, 90.00, 90.00 degrees
Space group F-43m (No. 216)
One atom of each set of equivalent atoms:
Ga 0.0000 0.0000 0.0000 (multiplicity 4)
Fe 0.0000 0.0000 0.5000 (multiplicity 4)
Ge 0.2500 0.2500 0.7500 (multiplicity 4)

=====

9.
Here is GaFe6Ge after structural relaxation from the Open Quantum Materials Database. Energies are from PBE.

Computed properties:
V   94.3 Å³ per cell
Raw total energy   -7.30 eV per atom

Cell lengths 4.0552, 4.0552, 5.7329 Å; angles 90.00, 90.00, 90.00 degrees
Space group P4/mmm (No. 123)
One atom of each set of equivalent atoms:
Ga 0.0000 0.0000 0.0000 (multiplicity 1)
Fe 0.0000 0.0000 0.5000 (multiplicity 1)
Fe 0.0000 0.5000 0.2527 (multiplicity 4)
Fe 0.5000 0.5000 0.0000 (multiplicity 1)
Ge 0.5000 0.5000 0.5000 (multiplicity 1)

=====

10.
Here is HoTm2Ga3FeGe2 after structural relaxation from the Open Quantum Materials Database. Energies are from PBE.

Computed properties:
V   340.8 Å³ per cell
Raw total energy   -5.10 eV per atom

Cell lengths 4.1098, 12.0020, 6.9087 Å; angles 90.00, 90.00, 90.00 degrees
Space group Amm2 (No. 38)
One atom of each set of equivalent atoms:
Ho 0.0000 0.0000 0.0000 (multiplicity 2)
Tm 0.0000 0.2004 0.3976 (multiplicity 4)
Ga 0.5000 0.0000 0.3711 (multiplicity 2)
Ga 0.5000 0.1135 0.7106 (multiplicity 4)
Fe 0.0000 0.0000 0.5962 (multiplicity 2)
Ge 0.5000 0.1676 0.0979 (multiplicity 4)

=====

11.
Here is GaFe4GeIr2 after structural relaxation from the Open Quantum Materials Database. Energies are from PBE.

Computed properties:
V   104.1 Å³ per cell
Raw total energy   -7.51 eV per atom

Cell lengths 4.1904, 4.1904, 5.9279 Å; angles 90.00, 90.00, 90.00 degrees
Space group P-4m2 (No. 115)
One atom of each set of equivalent atoms:
Ga 0.0000 0.0000 0.0000 (multiplicity 1)
Fe 0.0000 0.0000 0.5000 (multiplicity 1)
Fe 0.0000 0.5000 0.7484 (multiplicity 2)
Fe 0.5000 0.5000 0.0000 (multiplicity 1)
Ge 0.5000 0.5000 0.5000 (multiplicity 1)
Ir 0.0000 0.5000 0.2525 (multiplicity 2)

=====

12.
Here is Tb2TmGa3FeGe2 after structural relaxation from the Open Quantum Materials Database. Energies are from PBE.

Computed properties:
V   347.3 Å³ per cell
Raw total energy   -5.13 eV per atom

Cell lengths 4.1434, 12.0174, 6.9756 Å; angles 90.00, 90.00, 90.00 degrees
Space group Amm2 (No. 38)
One atom of each set of equivalent atoms:
Tb 0.0000 0.2002 0.0000 (multiplicity 4)
Tm 0.0000 0.0000 0.5988 (multiplicity 2)
Ga 0.5000 0.0000 0.9743 (multiplicity 2)
Ga 0.5000 0.1125 0.3148 (multiplicity 4)
Fe 0.0000 0.0000 0.2038 (multiplicity 2)
Ge 0.5000 0.1647 0.7003 (multiplicity 4)

=====

13.
Here is TbTm2Ga3FeGe2 after structural relaxation from the Open Quantum Materials Database. Energies are from PBE.

Computed properties:
V   342.6 Å³ per cell
Raw total energy   -5.11 eV per atom

Cell lengths 4.1221, 12.0358, 6.9051 Å; angles 90.00, 90.00, 90.00 degrees
Space group Amm2 (No. 38)
One atom of each set of equivalent atoms:
Tb 0.0000 0.0000 0.0000 (multiplicity 2)
Tm 0.0000 0.1999 0.3981 (multiplicity 4)
Ga 0.5000 0.0000 0.3717 (multiplicity 2)
Ga 0.5000 0.1135 0.7095 (multiplicity 4)
Fe 0.0000 0.0000 0.5943 (multiplicity 2)
Ge 0.5000 0.1685 0.0977 (multiplicity 4)

=====

14.
Here is HfGa2Fe after structural relaxation from the Open Quantum Materials Database. Energies are from PBE.

Computed properties:
V   740.1 Å³ per cell
Raw total energy   -6.50 eV per atom

Cell lengths 9.8911, 8.3816, 8.9268 Å; angles 90.00, 90.00, 90.00 degrees
Space group Pnma (No. 62)
One atom of each set of equivalent atoms:
Hf 0.0468 0.0264 0.1702 (multiplicity 8)
Hf 0.1802 0.7500 0.6622 (multiplicity 4)
Ga 0.0949 0.7500 0.3586 (multiplicity 4)
Ga 0.1055 0.2500 0.3890 (multiplicity 4)
Ga 0.1203 0.2500 0.9340 (multiplicity 4)
Ga 0.1306 0.7500 0.9810 (multiplicity 4)
Ga 0.1827 0.0809 0.6706 (multiplicity 8)
Fe 0.0000 0.0000 0.5000 (multiplicity 4)
Fe 0.2474 0.5012 0.4190 (multiplicity 8)

=====

15.
Here is HfGa2Fe after structural relaxation from the Open Quantum Materials Database. Energies are from PBE.

Computed properties:
V   246.2 Å³ per cell
Raw total energy   -6.17 eV per atom

Cell lengths 6.2671, 6.2671, 6.2671 Å; angles 90.00, 90.00, 90.00 degrees
Space group F-43m (No. 216)
One atom of each set of equivalent atoms:
Hf 0.0000 0.0000 0.0000 (multiplicity 4)
Ga 0.0000 0.0000 0.5000 (multiplicity 4)
Ga 0.2500 0.2500 0.2500 (multiplicity 4)
Fe 0.2500 0.2500 0.7500 (multiplicity 4)

=====

16.
Here is Hf4Ga5Fe2 after structural relaxation from the Open Quantum Materials Database. Energies are from PBE.

Computed properties:
V   190.4 Å³ per cell
Raw total energy   -6.89 eV per atom

Cell lengths 6.9674, 3.2025, 8.5403 Å; angles 90.00, 92.55, 90.00 degrees
Space group P2/m (No. 10)
One atom of each set of equivalent atoms:
Hf 0.1898 0.0000 0.3556 (multiplicity 2)
Hf 0.2187 0.0000 0.9310 (multiplicity 2)
Ga 0.1510 0.5000 0.6394 (multiplicity 2)
Ga 0.4490 0.5000 0.1689 (multiplicity 2)
Ga 0.5000 0.5000 0.5000 (multiplicity 1)
Fe 0.0779 0.5000 0.1390 (multiplicity 2)

=====

17.
Here is LiHfGaFe after structural relaxation from the Open Quantum Materials Database. Energies are from PBE.

Computed properties:
Excess energy over the best structure of this formula in the dataset   0.147 eV per atom
V   239.2 Å³ per cell
Raw total energy   -5.82 eV per atom

Cell lengths 6.2076, 6.2076, 6.2076 Å; angles 90.00, 90.00, 90.00 degrees
Space group F-43m (No. 216)
One atom of each set of equivalent atoms:
Li 0.0000 0.0000 0.0000 (multiplicity 4)
Hf 0.2500 0.2500 0.2500 (multiplicity 4)
Ga 0.0000 0.0000 0.5000 (multiplicity 4)
Fe 0.2500 0.2500 0.7500 (multiplicity 4)

=====

18.
Here is LiHfGaFe after structural relaxation from the Open Quantum Materials Database. Energies are from PBE.

Computed properties:
Excess energy over the best structure of this formula in the dataset   0.000 eV per atom
V   226.9 Å³ per cell
Raw total energy   -5.96 eV per atom

Cell lengths 6.0990, 6.0990, 6.0990 Å; angles 90.00, 90.00, 90.00 degrees
Space group F-43m (No. 216)
One atom of each set of equivalent atoms:
Li 0.0000 0.0000 0.0000 (multiplicity 4)
Hf 0.2500 0.2500 0.7500 (multiplicity 4)
Ga 0.2500 0.2500 0.2500 (multiplicity 4)
Fe 0.0000 0.0000 0.5000 (multiplicity 4)

=====

19.
Here is Li2Hf2Ga2FePd after structural relaxation from the Open Quantum Materials Database. Energies are from PBE.

Computed properties:
V   119.7 Å³ per cell
Raw total energy   -5.81 eV per atom

Cell lengths 4.3572, 4.3572, 6.3033 Å; angles 90.00, 90.00, 90.00 degrees
Space group P-4m2 (No. 115)
One atom of each set of equivalent atoms:
Li 0.0000 0.0000 0.0000 (multiplicity 1)
Li 0.5000 0.5000 0.5000 (multiplicity 1)
Hf 0.0000 0.5000 0.2367 (multiplicity 2)
Ga 0.0000 0.5000 0.7708 (multiplicity 2)
Fe 0.5000 0.5000 0.0000 (multiplicity 1)
Pd 0.0000 0.0000 0.5000 (multiplicity 1)

=====

20.
Here is Li2HfZrGa2Fe2 after structural relaxation from the Open Quantum Materials Database. Energies are from PBE.

Computed properties:
V   114.1 Å³ per cell
Raw total energy   -5.79 eV per atom

Cell lengths 4.3213, 4.3213, 6.1113 Å; angles 90.00, 90.00, 90.00 degrees
Space group P-4m2 (No. 115)
One atom of each set of equivalent atoms:
Li 0.0000 0.5000 0.2499 (multiplicity 2)
Hf 0.0000 0.0000 0.0000 (multiplicity 1)
Zr 0.5000 0.5000 0.5000 (multiplicity 1)
Ga 0.0000 0.0000 0.5000 (multiplicity 1)
Ga 0.5000 0.5000 0.0000 (multiplicity 1)
Fe 0.0000 0.5000 0.7521 (multiplicity 2)

=====

21.
Here is HfMgGaFe after structural relaxation from the Open Quantum Materials Database. Energies are from PBE.

Computed properties:
Excess energy over the best structure of this formula in the dataset   0.000 eV per atom
V   252.4 Å³ per cell
Raw total energy   -5.74 eV per atom

Cell lengths 6.3193, 6.3193, 6.3193 Å; angles 90.00, 90.00, 90.00 degrees
Space group F-43m (No. 216)
One atom of each set of equivalent atoms:
Hf 0.0000 0.0000 0.0000 (multiplicity 4)
Mg 0.2500 0.2500 0.2500 (multiplicity 4)
Ga 0.0000 0.0000 0.5000 (multiplicity 4)
Fe 0.2500 0.2500 0.7500 (multiplicity 4)

=====

22.
Here is HfMgGaFe after structural relaxation from the Open Quantum Materials Database. Energies are from PBE.

Computed properties:
Excess energy over the best structure of this formula in the dataset   0.139 eV per atom
V   264.1 Å³ per cell
Raw total energy   -5.60 eV per atom

Cell lengths 6.4160, 6.4160, 6.4160 Å; angles 90.00, 90.00, 90.00 degrees
Space group F-43m (No. 216)
One atom of each set of equivalent atoms:
Hf 0.0000 0.0000 0.0000 (multiplicity 4)
Mg 0.2500 0.2500 0.7500 (multiplicity 4)
Ga 0.2500 0.2500 0.2500 (multiplicity 4)
Fe 0.0000 0.0000 0.5000 (multiplicity 4)